# CsRb2MoCl8 | Alexandria via LeMat-Bulk | PBE-GGA | optimized geometry
# Total DFT energy (no corrections) (eV/atom): -3.7116
# Crystal system: triclinic
# Formation energy from raw total energies (eV/atom): -1.35
# Density (g/cm³): 2.57
# Density of states at the Fermi level (states/eV/cell): 10.557
data_CsRb2MoCl8
_space_group_name_H-M_alt 'P -1'
_space_group_IT_number 2
_cell_length_a 6.059
_cell_length_b 7.403
_cell_length_c 10.272
_cell_angle_alpha 90.04
_cell_angle_beta 90.01
_cell_angle_gamma 106.36
loop_
_space_group_symop_operation_xyz
'x,y,z'
'-x,-y,-z'
loop_
_atom_site_label
_atom_site_type_symbol
_atom_site_fract_x
_atom_site_fract_y
_atom_site_fract_z
Cs1 Cs 0.000 0.000 0.000
Rb1 Rb 0.499 0.501 0.243
Mo1 Mo 0.000 0.000 0.500
Cl1 Cl 0.081 0.802 0.337
Cl2 Cl 0.082 0.803 0.663
Cl3 Cl 0.386 0.185 0.500
Cl4 Cl 0.415 0.734 0.000

---

# Cs3TiCl8 | Alexandria via LeMat-Bulk | PBE-GGA | optimized geometry
# Total DFT energy (no corrections) (eV/atom): -3.4793
# Crystal system: tetragonal
# Formation energy from raw total energies (eV/atom): -1.38
# Density (g/cm³): 2.80
# Density of states at the Fermi level (states/eV/cell): 26.666
data_Cs3TiCl8
_space_group_name_H-M_alt 'I 4/m m m'
_space_group_IT_number 139
_space_group_name_Hall '-I 4 2'
_cell_length_a 7.636
_cell_length_b 7.636
_cell_length_c 14.852
_cell_angle_alpha 90.00
_cell_angle_beta 90.00
_cell_angle_gamma 90.00
loop_
_atom_site_label
_atom_site_type_symbol
_atom_site_fract_x
_atom_site_fract_y
_atom_site_fract_z
Cs1 Cs 0.000 0.000 0.000
Cs2 Cs 0.000 0.500 0.250
Ti1 Ti 0.000 0.000 0.500
Cl1 Cl 0.197 0.197 0.399

---

# MgSi4Ni | Alexandria via LeMat-Bulk | PBE-GGA | optimized geometry
# Total DFT energy (no corrections) (eV/atom): -4.5225
# Crystal system: cubic
# Formation energy from raw total energies (eV/atom): 0.32
# Density (g/cm³): 3.63
# Density of states at the Fermi level (states/eV/cell): 7.335
data_MgSi4Ni
_space_group_name_H-M_alt 'F -4 3 m'
_space_group_IT_number 216
_space_group_name_Hall 'F -4 2 3'
_cell_length_a 7.096
_cell_length_b 7.096
_cell_length_c 7.096
_cell_angle_alpha 90.00
_cell_angle_beta 90.00
_cell_angle_gamma 90.00
loop_
_atom_site_label
_atom_site_type_symbol
_atom_site_fract_x
_atom_site_fract_y
_atom_site_fract_z
Mg1 Mg 0.000 0.000 0.000
Si1 Si 0.125 0.125 0.375
Ni1 Ni 0.250 0.250 0.750

---

# Ba3Mg | Alexandria via LeMat-Bulk | PBE-GGA | optimized geometry
# Total DFT energy (no corrections) (eV/atom): -1.7863
# Crystal system: orthorhombic
# E above lowest polymorph (meV per atom): 68.8
# Density (g/cm³): 3.60
# Calculated formation energy (eV/atom): 0.054
# Density of states at the Fermi level (states/eV/cell): 11.432
data_Ba3Mg
_space_group_name_H-M_alt 'C m m m'
_space_group_IT_number 65
_space_group_name_Hall '-C 2 2'
_cell_length_a 8.966
_cell_length_b 8.992
_cell_length_c 4.997
_cell_angle_alpha 90.00
_cell_angle_beta 90.00
_cell_angle_gamma 90.00
loop_
_atom_site_label
_atom_site_type_symbol
_atom_site_fract_x
_atom_site_fract_y
_atom_site_fract_z
Ba1 Ba 0.000 0.000 0.000
Ba2 Ba 0.250 0.250 0.500
Mg1 Mg 0.000 0.500 0.000

---

# MgInAgSn | Alexandria via LeMat-Bulk | PBE-GGA | optimized geometry
# Total DFT energy (no corrections) (eV/atom): -2.8355
# Crystal system: monoclinic
# E above lowest polymorph (meV per atom): 0.0
# Density (g/cm³): 6.09
# Calculated formation energy (eV/atom): -0.039
# Density of states at the Fermi level (states/eV/cell): 2.689
data_MgInAgSn
_space_group_name_H-M_alt 'C 1 m 1'
_space_group_IT_number 8
_cell_length_a 8.102
_cell_length_b 4.881
_cell_length_c 5.617
_cell_angle_alpha 90.00
_cell_angle_beta 116.13
_cell_angle_gamma 90.00
loop_
_space_group_symop_operation_xyz
'x,y,z'
'x,-y,z'
'x+1/2,y+1/2,z'
'x+1/2,-y+1/2,z'
loop_
_atom_site_label
_atom_site_type_symbol
_atom_site_fract_x
_atom_site_fract_y
_atom_site_fract_z
Mg1 Mg 0.000 0.000 0.000
In1 In 0.228 0.000 0.653
Ag1 Ag 0.403 0.000 0.206
Sn1 Sn 0.293 0.500 0.368

---

# BeTcSe | Alexandria via LeMat-Bulk | PBE-GGA | optimized geometry
# Total DFT energy (no corrections) (eV/atom): -5.6989
# Crystal system: trigonal
# E above lowest polymorph (meV per atom): 119.8
# Formation energy from raw total energies (eV/atom): 0.16
# Density (g/cm³): 6.98
# Density of states at the Fermi level (states/eV/cell): 1.090
data_BeTcSe
_space_group_name_H-M_alt 'P 3 m 1'
_space_group_IT_number 156
_cell_length_a 3.0004
_cell_length_b 3.0004
_cell_length_c 5.6772
_cell_angle_alpha 90.00
_cell_angle_beta 90.00
_cell_angle_gamma 120.00
loop_
_space_group_symop_operation_xyz
'x,y,z'
'-y,x-y,z'
'-x+y,-x,z'
'-y,-x,z'
'-x+y,y,z'
'x,x-y,z'
loop_
_atom_site_label
_atom_site_type_symbol
_atom_site_fract_x
_atom_site_fract_y
_atom_site_fract_z
Be1 Be 0.0000 0.0000 0.0000
Tc1 Tc 0.3333 0.6667 0.6909
Se1 Se 0.6667 0.3333 0.3775

---

# MnSiOsW | Alexandria via LeMat-Bulk | PBE-GGA | optimized geometry
# Total DFT energy (no corrections) (eV/atom): -9.7929
# Crystal system: cubic
# Formation energy from raw total energies (eV/atom): -0.10
# Density (g/cm³): 14.01
# Density of states at the Fermi level (states/eV/cell): 11.522
data_MnSiOsW
_space_group_name_H-M_alt 'F -4 3 m'
_space_group_IT_number 216
_space_group_name_Hall 'F -4 2 3'
_cell_length_a 6.007
_cell_length_b 6.007
_cell_length_c 6.007
_cell_angle_alpha 90.00
_cell_angle_beta 90.00
_cell_angle_gamma 90.00
loop_
_atom_site_label
_atom_site_type_symbol
_atom_site_fract_x
_atom_site_fract_y
_atom_site_fract_z
Mn1 Mn 0.000 0.000 0.000
Si1 Si 0.000 0.000 0.500
Os1 Os 0.250 0.250 0.250
W1 W 0.250 0.250 0.750

---

# CdIn5Hg4 | Alexandria via LeMat-Bulk | PBE-GGA | optimized geometry
# Total DFT energy (no corrections) (eV/atom): -1.5626
# Crystal system: tetragonal
# Density (g/cm³): 9.37
# Calculated formation energy (eV/atom): 0.019
# Density of states at the Fermi level (states/eV/cell): 4.458
data_CdIn5Hg4
_space_group_name_H-M_alt 'P 4/m m m'
_space_group_IT_number 123
_space_group_name_Hall '-P 4 2'
_cell_length_a 3.839
_cell_length_b 3.839
_cell_length_c 17.906
_cell_angle_alpha 90.00
_cell_angle_beta 90.00
_cell_angle_gamma 90.00
loop_
_atom_site_label
_atom_site_type_symbol
_atom_site_fract_x
_atom_site_fract_y
_atom_site_fract_z
Cd1 Cd 0.000 0.000 0.000
In1 In 0.500 0.500 0.099
In2 In 0.500 0.500 0.297
In3 In 0.500 0.500 0.500
Hg1 Hg 0.000 0.000 0.197
Hg2 Hg 0.000 0.000 0.399

---

# Sc5Tl2As | Alexandria via LeMat-Bulk | PBE-GGA | optimized geometry
# Total DFT energy (no corrections) (eV/atom): -5.6490
# Crystal system: orthorhombic
# Density (g/cm³): 6.33
# Calculated formation energy (eV/atom): -0.519
# Density of states at the Fermi level (states/eV/cell): 13.945
data_Sc5Tl2As
_space_group_name_H-M_alt 'P b a m'
_space_group_IT_number 55
_cell_length_a 7.665
_cell_length_b 11.439
_cell_length_c 4.239
_cell_angle_alpha 90.00
_cell_angle_beta 90.00
_cell_angle_gamma 90.00
loop_
_space_group_symop_operation_xyz
'x,y,z'
'-x,-y,-z'
'-x,-y,z'
'x,y,-z'
'x+1/2,-y+1/2,-z'
'-x+1/2,y+1/2,z'
'-x+1/2,y+1/2,-z'
'x+1/2,-y+1/2,z'
loop_
_atom_site_label
_atom_site_type_symbol
_atom_site_fract_x
_atom_site_fract_y
_atom_site_fract_z
Sc1 Sc 0.000 0.000 0.000
Sc2 Sc 0.151 0.286 0.000
Sc3 Sc 0.196 0.571 0.500
Tl1 Tl 0.075 0.826 0.500
As1 As 0.000 0.500 0.000

---

# Nd6Ho8In | Alexandria via LeMat-Bulk | PBE-GGA | optimized geometry
# Total DFT energy (no corrections) (eV/atom): -4.4636
# Crystal system: trigonal
# Density (g/cm³): 7.72
# Calculated formation energy (eV/atom): 0.068
# Density of states at the Fermi level (states/eV/cell): 18.016
data_Nd6Ho8In
_space_group_name_H-M_alt 'P -3'
_space_group_IT_number 147
_cell_length_a 9.4554
_cell_length_b 9.4554
_cell_length_c 6.3914
_cell_angle_alpha 90.00
_cell_angle_beta 90.00
_cell_angle_gamma 120.00
loop_
_space_group_symop_operation_xyz
'x,y,z'
'-x,-y,-z'
'-y,x-y,z'
'y,-x+y,-z'
'-x+y,-x,z'
'x-y,x,-z'
loop_
_atom_site_label
_atom_site_type_symbol
_atom_site_fract_x
_atom_site_fract_y
_atom_site_fract_z
Nd1 Nd 0.0897 0.6401 0.3160
Ho1 Ho 0.0390 0.7762 0.8124
Ho2 Ho 0.3333 0.6667 0.8303
In1 In 0.0000 0.0000 0.5000